P | # Pm2Y5Ho4, relaxed, DFT PBE-GGA
# - volume (Å³ per atom) = 33.00
# - size of the total moment (μB/f.u.) = 0.00
# - crystal system = monoclinic
data_Pm2Y5Ho4
_cell_length_a 6.679
_cell_length_b 8.929
_cell_length_c 10.276
_cell_angle_alpha 39.79
_cell_angle_beta 71.04
_cell_angle_gamma 68.04
_symmetry_space_group_name_H-M 'P 1'
_symmetry_Int_Tables_number 1
loop_
_symmetry_equiv_pos_as_xyz
'x,y,z'
loop_
_atom_site_label
_atom_site_fract_x
_atom_site_fract_y
_atom_site_fract_z
Ho1 0.413 0.770 0.405
Ho2 0.587 0.230 0.595
Ho3 0.756 0.684 0.804
Ho4 0.244 0.316 0.196
Y1 0.827 0.729 0.092
Y2 0.173 0.271 0.908
Y3 0.352 0.729 0.092
Y4 0.000 0.500 0.500
Y5 0.648 0.271 0.908
Pm1 0.202 0.893 0.702
Pm2 0.798 0.107 0.298

=====

Q | # Pm2Y5Ho4, relaxed, DFT PBE-GGA
# - volume (Å³ per atom) = 32.14
# - size of the total moment (μB/f.u.) = 0.00
# - crystal system = triclinic
data_Pm2Y5Ho4
_cell_length_a 3.567
_cell_length_b 9.445
_cell_length_c 11.834
_cell_angle_alpha 106.43
_cell_angle_beta 81.37
_cell_angle_gamma 112.22
_symmetry_space_group_name_H-M 'P 1'
_symmetry_Int_Tables_number 1
loop_
_symmetry_equiv_pos_as_xyz
'x,y,z'
loop_
_atom_site_label
_atom_site_fract_x
_atom_site_fract_y
_atom_site_fract_z
Ho1 0.229 0.547 0.636
Ho2 0.771 0.453 0.364
Ho3 0.317 0.363 0.093
Ho4 0.683 0.637 0.907
Y1 0.500 0.000 0.000
Y2 0.411 0.184 0.546
Y3 0.589 0.816 0.454
Y4 0.955 0.092 0.274
Y5 0.045 0.908 0.726
Pm1 0.865 0.274 0.820
Pm2 0.135 0.726 0.180

=====

Relative energy table, unit meV per atom: P 147; Q 0